[1]
CsRbGe: optimized geometry, PBE.

Values from the calculation:
formation energy: 0.241 eV per atom
SG: I4mm (107)
total energy: -11.4 eV/cell

Lattice parameters (Å, degrees): 4.3057 4.3087 17.2913 90.00 90.00 90.00
Site moments in Bohr magnetons follow the coordinates.
Sites, in units of the cell vectors:
Cs 0.0000 0.0000 0.7080  0.01
Cs 0.5000 0.5000 0.2080  0.01
Rb 0.0000 0.0000 0.9503  0.01
Rb 0.5000 0.5000 0.4503  0.01
Ge 0.0000 0.0000 0.3350  0.19
Ge 0.5000 0.5000 0.8350  0.19


[2]
NdHo2Al6: optimized geometry, PBE.

Values from the calculation:
formation energy: -0.475 eV per atom
SG: P6/mmm (191)
total energy: -40.7 eV/cell

Lattice parameters (Å, degrees): 3.5283 7.9367 7.9367 120.00 90.00 90.00
Sites, in units of the cell vectors:
Nd 0.0000 0.0000 0.0000
Ho 0.0000 0.3333 0.6667
Ho 0.0000 0.6667 0.3333
Al 0.5000 0.3357 0.3357
Al 0.5000 0.6643 0.6643
Al 0.5000 0.0000 0.6643
Al 0.5000 0.6643 0.0000
Al 0.5000 0.3357 0.0000
Al 0.5000 0.0000 0.3357


[3]
OsRh3: optimized geometry, PBE.

Values from the calculation:
formation energy: 0.464 eV per atom
SG: Fm-3m (225)
total energy: -31.4 eV/cell

Lattice parameters (Å, degrees): 4.3539 4.3539 4.3539 60.00 60.00 60.00
Site moments in Bohr magnetons follow the coordinates.
Sites, in units of the cell vectors:
Os 0.0000 0.0000 0.0000  0.53
Rh 0.2500 0.2500 0.2500  0.40
Rh 0.5000 0.5000 0.5000  -0.01
Rh 0.7500 0.7500 0.7500  0.40